Record 1
BeB3Mo4: relaxed, PBE.

Structure (CIF):
```
data_BeB3Mo4
_chemical_formula_sum 'Be1 B3 Mo4'
_cell_length_a 3.128
_cell_length_b 3.177
_cell_length_c 8.611
_cell_angle_alpha 90.00
_cell_angle_beta 90.00
_cell_angle_gamma 90.00
_space_group_name_H-M_alt 'P m m 2'
_space_group_IT_number 25
loop_
_space_group_symop_operation_xyz
'x,y,z'
'-x,-y,z'
'-x,y,z'
'x,-y,z'
loop_
_atom_site_label
_atom_site_type_symbol
_atom_site_fract_x
_atom_site_fract_y
_atom_site_fract_z
Be1 Be 0.000 0.000 0.000
B1 B 0.000 0.500 0.505
B2 B 0.500 0.000 0.130
B3 B 0.500 0.500 0.623
Mo1 Mo 0.000 0.000 0.707
Mo2 Mo 0.000 0.500 0.212
Mo3 Mo 0.500 0.000 0.421
Mo4 Mo 0.500 0.500 0.914
```

Summary:
The energy of formation is -0.464 eV/atom. The calculated total energy comes out at -70.8 eV for the cell shown.

Record 2
YMnP2: relaxed, PBE.

Structure (CIF):
```
data_YMnP2
_chemical_formula_sum 'Y2 Mn2 P4'
_cell_length_a 3.833
_cell_length_b 3.833
_cell_length_c 9.887
_cell_angle_alpha 90.00
_cell_angle_beta 90.00
_cell_angle_gamma 90.00
_space_group_name_H-M_alt 'I -4 m 2'
_space_group_IT_number 119
_space_group_name_Hall 'I -4 -2'
loop_
_atom_site_label
_atom_site_type_symbol
_atom_site_fract_x
_atom_site_fract_y
_atom_site_fract_z
Y1 Y 0.000 0.000 0.000
Mn1 Mn 0.000 0.500 0.750
P1 P 0.000 0.000 0.500
P2 P 0.000 0.500 0.250
```

Summary:
The energy of formation is -0.434 eV/atom. The calculated total energy comes out at -56.4 eV for the cell shown.

Record 3
CoReNi2: relaxed, PBE.

Structure (CIF):
```
data_CoReNi2
_chemical_formula_sum 'Co1 Re1 Ni2'
_cell_length_a 2.572
_cell_length_b 3.702
_cell_length_c 5.003
_cell_angle_alpha 90.00
_cell_angle_beta 90.00
_cell_angle_gamma 90.00
_space_group_name_H-M_alt 'P m m m'
_space_group_IT_number 47
loop_
_space_group_symop_operation_xyz
'x,y,z'
'-x,-y,-z'
'-x,-y,z'
'x,y,-z'
'x,-y,-z'
'-x,y,z'
'-x,y,-z'
'x,-y,z'
loop_
_atom_site_label
_atom_site_type_symbol
_atom_site_fract_x
_atom_site_fract_y
_atom_site_fract_z
Co1 Co 0.000 0.000 0.000
Re1 Re 0.000 0.000 0.500
Ni1 Ni 0.500 0.500 0.248
```

Summary:
The energy of formation is 0.078 eV/atom. The calculated total energy comes out at -30.8 eV for the cell shown.

Look up the energy of formation of the third one.
0.078 eV/atom